DFT (PBE) results for a relaxed TePdSeN2 crystal.

Calculated values
**Uncorrected formation energy**: 1.38 eV per atom
**Energy above the lowest structure with this stoichiometry**: 0 meV/atom
**E_tot**: -0.3173 Ry/atom

Lattice parameters (Å, degrees): 4.0617 4.0617 5.5994 90.00 90.00 90.00
Last column: nearest neighbours and their distance in Å.
Positions (direct):
Te  0.5000  0.5000  0.5000  4 Se 2.87
Se  0.0000  0.0000  0.5000  2 Pd 2.80, 4 Te 2.87
Pd  0.0000  0.0000  0.0000  4 N 2.03
N  0.0000  0.5000  0.0000  2 Pd 2.03
N  0.5000  0.0000  0.0000  2 Pd 2.03

---

DFT (PBE) results for a relaxed CdIn2W crystal.

Calculated values
**ΔH_f (0 K)**: 2.604 eV per formula unit
**E_tot**: -0.3076 Ry/atom

Lattice parameters (Å, degrees): 4.0995 4.4432 4.4432 90.00 90.00 90.00
Last column: nearest neighbours and their distance in Å.
Positions (direct):
Cd  0.5000  0.0000  0.5000  8 In 3.02, 4 W 3.14
W  0.5000  0.5000  0.0000  8 In 3.02, 4 Cd 3.14
In  0.0000  0.0000  0.0000  4 Cd 3.02, 4 W 3.02, 4 In 3.14
In  0.0000  0.5000  0.5000  4 Cd 3.02, 4 W 3.02, 4 In 3.14

---

DFT (PBE) results for a relaxed TaBe3 crystal.

Calculated values
**ΔH_f (0 K)**: 1.197 eV per formula unit
**E_tot**: -0.4012 Ry/atom

Lattice parameters (Å, degrees): 4.4628 4.4628 2.5294 90.00 90.00 109.41
Last column: nearest neighbours and their distance in Å.
Positions (direct):
Be  0.0000  0.5000  0.5000  8 Be 2.53-2.58, 4 Ta 2.56
Be  0.5000  0.0000  0.5000  8 Be 2.53-2.58, 4 Ta 2.56
Be  0.5000  0.5000  0.0000  10 Be 2.53-2.56, 2 Ta 2.58
Ta  0.0000  0.0000  0.0000  2 Ta 2.53, 10 Be 2.56-2.58

---

DFT (PBE) results for a relaxed KTlHgBr6 crystal.

Calculated values
**Uncorrected formation energy**: -0.73 eV per atom
**E_tot**: -0.1666 Ry/atom

Lattice parameters (Å, degrees): 7.2973 7.2973 14.5640 90.00 90.00 120.00
Last column: nearest neighbours and their distance in Å.
Positions (direct):
K  0.0000  0.0000  0.0000  6 Br 3.37
K  0.0000  0.0000  0.5000  6 Br 3.37
Tl  0.3333  0.6667  0.2500  6 Br 2.81
Tl  0.6667  0.3333  0.7500  6 Br 2.81
Hg  0.6667  0.3333  0.2500  6 Br 2.86
Hg  0.3333  0.6667  0.7500  6 Br 2.86
Br  0.6265  0.6318  0.1373  1 Tl 2.81, 1 Hg 2.86
Br  0.0053  0.3735  0.1373  1 Tl 2.81, 1 Hg 2.86
Br  0.3735  0.0053  0.6373  1 Tl 2.81, 1 Hg 2.86
Br  0.9947  0.6265  0.8627  1 Tl 2.81, 1 Hg 2.86
Br  0.3682  0.3735  0.3627  1 Tl 2.81, 1 Hg 2.86
Br  0.0053  0.6318  0.3627  1 Tl 2.81, 1 Hg 2.86
Br  0.6318  0.0053  0.8627  1 Tl 2.81, 1 Hg 2.86
Br  0.6265  0.9947  0.3627  1 Tl 2.81, 1 Hg 2.86
Br  0.9947  0.3682  0.6373  1 Tl 2.81, 1 Hg 2.86
Br  0.3682  0.9947  0.1373  1 Tl 2.81, 1 Hg 2.86
Br  0.6318  0.6265  0.6373  1 Tl 2.81, 1 Hg 2.86
Br  0.3735  0.3682  0.8627  1 Tl 2.81, 1 Hg 2.86

---

DFT (PBE) results for a relaxed Rb2ThOs3O12 crystal.

Calculated values
**Uncorrected formation energy**: -1.59 eV per atom
**E_tot**: -0.5358 Ry/atom

Lattice parameters (Å, degrees): 7.6340 7.6340 7.6340 57.37 57.37 57.37
Last column: nearest neighbours and their distance in Å.
Positions (direct):
Rb  0.6253  0.6253  0.6253  3 O 3.09
Rb  0.3747  0.3747  0.3747  3 O 3.09
Th  0.0000  0.0000  0.0000  6 O 2.30
Os  0.5000  0.0000  0.0000  6 O 1.91-1.93
Os  0.0000  0.5000  0.0000  6 O 1.91-1.93
Os  0.0000  0.0000  0.5000  6 O 1.91-1.93
O  0.2984  0.2984  0.9236  2 Os 1.91
O  0.9149  0.9149  0.3688  1 Os 1.93
O  0.3688  0.9149  0.9149  1 Os 1.93
O  0.9236  0.2984  0.2984  2 Os 1.91
O  0.9149  0.3688  0.9149  1 Os 1.93
O  0.2984  0.9236  0.2984  2 Os 1.91
O  0.7016  0.7016  0.0764  2 Os 1.91
O  0.0851  0.0851  0.6312  1 Os 1.93
O  0.6312  0.0851  0.0851  1 Os 1.93
O  0.0764  0.7016  0.7016  2 Os 1.91
O  0.0851  0.6312  0.0851  1 Os 1.93
O  0.7016  0.0764  0.7016  2 Os 1.91

---

DFT (PBE) results for a relaxed Ba4Br2NO crystal.

Calculated values
**Uncorrected formation energy**: -1.60 eV per atom
**E_tot**: -0.3407 Ry/atom

Lattice parameters (Å, degrees): 4.1554 7.1561 8.2153 106.91 90.00 90.00
Last column: nearest neighbours and their distance in Å.
Positions (direct):
Ba  0.5000  0.2332  0.1889  1 N 2.79, 2 O 2.83
Ba  0.5000  0.7668  0.8111  1 N 2.79, 2 O 2.83
Ba  0.0000  0.2710  0.8095  2 N 2.82, 1 O 2.82
Ba  0.0000  0.7290  0.1905  2 N 2.82, 1 O 2.82
Br  0.5000  0.0000  0.5000  6 Ba 3.42-3.43
Br  0.0000  0.5000  0.5000  6 Ba 3.40-3.41
N  0.5000  0.5000  0.0000  6 Ba 2.79-2.82
O  0.0000  0.0000  0.0000  6 Ba 2.82-2.83

---

DFT (PBE) results for a relaxed Ho3Tm6Zr crystal.

Calculated values
**Energy above the lowest structure with this stoichiometry**: 131 meV/atom
**ΔH_f (0 K)**: 2.774 eV per formula unit
**E_tot**: -0.3406 Ry/atom

Lattice parameters (Å, degrees): 9.6334 9.6334 6.7524 44.49 44.49 60.00
Last column: nearest neighbours and their distance in Å.
Positions (direct):
Ho  0.3505  0.3505  0.9484  2 Ho 2.91-2.92
Ho  0.6042  0.6042  0.1874  1 Zr 2.83, 1 Ho 2.91
Ho  0.0964  0.0964  0.7109  1 Zr 2.83, 1 Ho 2.92
Tm  0.9367  0.6079  0.2051  1 Zr 3.23, 2 Ho 3.31-3.38, 1 Tm 3.62
Tm  0.2502  0.9367  0.2051  1 Zr 3.23, 2 Ho 3.31-3.38, 1 Tm 3.62
Tm  0.6079  0.2502  0.2051  1 Zr 3.23, 2 Ho 3.31-3.38, 1 Tm 3.62
Tm  0.0915  0.4494  0.6962  1 Zr 3.23, 3 Ho 3.31-3.62, 2 Tm 3.62
Tm  0.7629  0.0915  0.6962  1 Zr 3.23, 3 Ho 3.31-3.62, 2 Tm 3.62
Tm  0.4494  0.7629  0.6962  1 Zr 3.23, 3 Ho 3.31-3.62, 2 Tm 3.62
Zr  0.8502  0.8502  0.4493  2 Ho 2.83

---

DFT (PBE) results for a relaxed Ca2Sn3Pb3 crystal.

Calculated values
**ΔH_f (0 K)**: -2.745 eV per formula unit
**E_tot**: -0.2745 Ry/atom

Lattice parameters (Å, degrees): 4.8472 4.8561 9.7403 90.00 90.00 90.00
Last column: nearest neighbours and their distance in Å.
Positions (direct):
Ca  0.0000  0.0000  0.7434  6 Sn 3.39-3.48, 6 Pb 3.43-3.48
Ca  0.0000  0.0000  0.2566  6 Sn 3.39-3.48, 6 Pb 3.43-3.48
Sn  0.5000  0.0000  0.5000  4 Ca 3.39, 4 Pb 3.42, 4 Sn 3.43
Sn  0.0000  0.5000  0.0000  8 Pb 3.43-3.45, 4 Ca 3.48
Sn  0.0000  0.5000  0.5000  4 Ca 3.39, 4 Pb 3.42, 4 Sn 3.43
Pb  0.5000  0.5000  0.7473  6 Sn 3.42-3.45, 4 Ca 3.43, 2 Pb 3.46
Pb  0.5000  0.5000  0.2527  6 Sn 3.42-3.45, 4 Ca 3.43, 2 Pb 3.46
Pb  0.5000  0.0000  0.0000  4 Sn 3.43, 4 Pb 3.46, 4 Ca 3.48

---

DFT (PBE) results for a relaxed Pm2Dy3Sc crystal.

Calculated values
**Energy above the lowest structure with this stoichiometry**: 234 meV/atom
**ΔH_f (0 K)**: 1.613 eV per formula unit
**E_tot**: -0.3433 Ry/atom

Lattice parameters (Å, degrees): 3.3326 6.6312 17.2562 90.00 90.00 90.00
Last column: nearest neighbours and their distance in Å.
Positions (direct):
Pm  0.5000  0.7495  0.1496  1 Sc 3.07, 2 Dy 3.32-3.37, 2 Pm 3.33
Pm  0.0000  0.2495  0.3504  1 Sc 3.07, 2 Dy 3.32-3.37, 2 Pm 3.33
Pm  0.0000  0.7505  0.6496  1 Sc 3.07, 2 Dy 3.32-3.37, 2 Pm 3.33
Pm  0.5000  0.2505  0.8504  1 Sc 3.07, 2 Dy 3.32-3.37, 2 Pm 3.33
Dy  0.0000  0.0000  0.0000  2 Dy 3.33, 4 Pm 3.49, 4 Sc 3.71
Dy  0.5000  0.5000  0.5000  2 Dy 3.33, 4 Pm 3.49, 4 Sc 3.71
Dy  0.5000  0.7540  0.8259  4 Pm 3.32-3.47, 2 Dy 3.33, 1 Sc 3.44
Dy  0.5000  0.2460  0.1741  4 Pm 3.32-3.47, 2 Dy 3.33, 1 Sc 3.44
Dy  0.0000  0.2540  0.6741  4 Pm 3.32-3.47, 2 Dy 3.33, 1 Sc 3.44
Dy  0.0000  0.7460  0.3259  4 Pm 3.32-3.47, 2 Dy 3.33, 1 Sc 3.44
Sc  0.0000  0.0000  0.5000  2 Pm 3.07, 2 Sc 3.33
Sc  0.5000  0.5000  0.0000  2 Pm 3.07, 2 Sc 3.33

---

DFT (PBE) results for a relaxed LiMn2Fe crystal.

Calculated values
**Energy above the lowest structure with this stoichiometry**: 149 meV/atom
**ΔH_f (0 K)**: 1.486 eV per formula unit
**E_tot**: -0.5003 Ry/atom

Lattice parameters (Å, degrees): 4.5219 4.5219 4.5219 136.73 136.73 62.85
Last column: nearest neighbours and their distance in Å.
Positions (direct):
Fe  0.7500  0.2500  0.5000  4 Li 2.36, 8 Mn 2.55
Li  0.2500  0.7500  0.5000  4 Fe 2.36, 8 Mn 2.55
Mn  0.0000  0.0000  0.0000  4 Mn 2.36, 4 Li 2.55, 4 Fe 2.55
Mn  0.5000  0.5000  0.0000  4 Mn 2.36, 4 Fe 2.55, 4 Li 2.55

---

DFT (PBE) results for a relaxed Al2TlFeBi crystal.

Calculated values
**ΔH_f (0 K)**: 6.869 eV per formula unit
**E_tot**: -0.2253 Ry/atom

Lattice parameters (Å, degrees): 5.0985 6.0601 5.0985 90.00 90.00 90.00
Last column: nearest neighbours and their distance in Å.
Positions (direct):
Tl  0.0000  0.0000  0.0000  4 Al 2.55
Al  0.0000  0.0000  0.5000  2 Tl 2.55
Al  0.5000  0.0000  0.0000  2 Tl 2.55
Bi  0.0000  0.5000  0.0000  2 Tl 3.03
Fe  0.5000  0.5000  0.5000  4 Bi 3.61, 8 Al 3.96

---

DFT (PBE) results for a relaxed Zn2WBr crystal.

Calculated values
**Uncorrected formation energy**: 0.91 eV per atom
**Energy above the lowest structure with this stoichiometry**: 525 meV/atom
**E_tot**: -0.2484 Ry/atom

Lattice parameters (Å, degrees): 5.2741 5.2741 5.2741 136.61 136.61 63.04
Last column: nearest neighbours and their distance in Å.
Positions (direct):
Br  0.5000  0.5000  0.0000  8 Zn 2.76-2.98, 4 W 2.98
W  0.7500  0.2500  0.5000  8 Zn 2.76-2.98, 4 Br 2.98
Zn  0.0000  0.0000  0.0000  4 Br 2.76, 4 W 2.98, 4 Zn 2.98
Zn  0.2500  0.7500  0.5000  4 W 2.76, 4 Zn 2.98, 4 Br 2.98

---

DFT (PBE) results for a relaxed Hf2InPt crystal.

Calculated values
**ΔH_f (0 K)**: -0.884 eV per formula unit
**E_tot**: -0.5433 Ry/atom

Lattice parameters (Å, degrees): 7.7006 7.7006 6.2253 51.79 51.79 90.00
Last column: nearest neighbours and their distance in Å.
Positions (direct):
Hf  0.6688  0.1250  0.2500  2 Pt 2.61
Hf  0.0812  0.6250  0.2500  2 Pt 2.61
Hf  0.3750  0.3312  0.7500  2 Pt 2.61
Hf  0.8750  0.9188  0.7500  2 Pt 2.61
Pt  0.0000  0.0000  0.0000  4 Hf 2.61
Pt  0.7500  0.2500  0.5000  4 Hf 2.61
In  0.5000  0.5000  0.0000  2 Pt 3.02, 8 Hf 3.06-3.37
In  0.2500  0.7500  0.5000  2 Pt 3.02, 8 Hf 3.06-3.37

---

DFT (PBE) results for a relaxed RbHfAsSe2 crystal.

Calculated values
**Uncorrected formation energy**: -0.77 eV per atom
**Energy above the lowest structure with this stoichiometry**: 0 meV/atom
**E_tot**: -0.3879 Ry/atom

Lattice parameters (Å, degrees): 5.2843 5.2843 5.2487 90.00 90.00 90.00
Last column: nearest neighbours and their distance in Å.
Positions (direct):
As  0.0000  0.0000  0.5000  2 Hf 2.62
Hf  0.0000  0.0000  0.0000  2 As 2.62, 4 Se 2.64
Se  0.0000  0.5000  0.0000  2 Hf 2.64
Se  0.5000  0.0000  0.0000  2 Hf 2.64
Rb  0.5000  0.5000  0.5000  8 Se 3.72, 4 As 3.74

---

DFT (PBE) results for a relaxed K2Tb2TiO6 crystal.

Calculated values
**Uncorrected formation energy**: -2.83 eV per atom
**E_tot**: -0.5361 Ry/atom

Lattice parameters (Å, degrees): 5.7510 5.7510 6.5831 97.70 97.70 119.48
Last column: nearest neighbours and their distance in Å.
Positions (direct):
K  0.8386  0.1614  0.0000  6 O 2.72-3.03
K  0.1614  0.8386  0.0000  6 O 2.72-3.03
Tb  0.3349  0.6651  0.5000  6 O 2.28-2.31
Tb  0.6651  0.3349  0.5000  6 O 2.28-2.31
Ti  0.0000  0.0000  0.5000  6 O 2.01-2.05
O  0.7601  0.7601  0.6704  1 Ti 2.01
O  0.0475  0.3523  0.6698  1 Ti 2.05, 1 Tb 2.28
O  0.2399  0.2399  0.3296  1 Ti 2.01
O  0.3523  0.0475  0.6698  1 Ti 2.05, 1 Tb 2.28
O  0.9525  0.6477  0.3302  1 Ti 2.05, 1 Tb 2.28
O  0.6477  0.9525  0.3302  1 Ti 2.05, 1 Tb 2.28

---

DFT (PBE) results for a relaxed Ca2Al6Ag9 crystal.

Calculated values
**ΔH_f (0 K)**: -1.783 eV per formula unit
**E_tot**: -0.2330 Ry/atom

Lattice parameters (Å, degrees): 5.7137 5.7137 12.7859 90.00 90.00 120.00
Last column: nearest neighbours and their distance in Å.
Positions (direct):
Ca  0.0000  0.0000  0.6709  6 Al 3.30, 12 Ag 3.53-3.60
Ca  0.0000  0.0000  0.3291  6 Al 3.30, 12 Ag 3.53-3.60
Al  0.3333  0.6667  0.0000  6 Ag 2.70
Al  0.6667  0.3333  0.0000  6 Ag 2.70
Al  0.3333  0.6667  0.6659  6 Ag 2.69-2.70
Al  0.6667  0.3333  0.6659  6 Ag 2.69-2.70
Al  0.6667  0.3333  0.3341  6 Ag 2.69-2.70
Al  0.3333  0.6667  0.3341  6 Ag 2.69-2.70
Ag  0.5000  0.0000  0.8332  4 Al 2.70, 4 Ag 2.86
Ag  0.0000  0.5000  0.8332  4 Al 2.70, 4 Ag 2.86
Ag  0.5000  0.5000  0.8332  4 Al 2.70, 4 Ag 2.86
Ag  0.5000  0.0000  0.1668  4 Al 2.70, 4 Ag 2.86
Ag  0.0000  0.5000  0.1668  4 Al 2.70, 4 Ag 2.86
Ag  0.5000  0.5000  0.1668  4 Al 2.70, 4 Ag 2.86
Ag  0.5000  0.0000  0.5000  4 Al 2.69, 4 Ag 2.86
Ag  0.0000  0.5000  0.5000  4 Al 2.69, 4 Ag 2.86
Ag  0.5000  0.5000  0.5000  4 Al 2.69, 4 Ag 2.86

---

DFT (PBE) results for a relaxed TlB2MoRu crystal.

Calculated values
**ΔH_f (0 K)**: 5.568 eV per formula unit
**E_tot**: -0.4448 Ry/atom

Lattice parameters (Å, degrees): 4.0943 5.0172 4.0943 90.00 90.00 90.00
Last column: nearest neighbours and their distance in Å.
Positions (direct):
Ru  0.0000  0.0000  0.0000  4 B 2.05
Tl  0.5000  0.5000  0.5000  4 Mo 2.90, 8 B 3.24
B  0.0000  0.0000  0.5000  2 Ru 2.05
B  0.5000  0.0000  0.0000  2 Ru 2.05
Mo  0.0000  0.5000  0.0000  2 Ru 2.51

---

DFT (PBE) results for a relaxed Re2HOs crystal.

Calculated values
**Energy above the lowest structure with this stoichiometry**: 438 meV/atom
**E_tot**: -0.6620 Ry/atom

Lattice parameters (Å, degrees): 4.2121 4.2121 4.2121 60.00 60.00 60.00
Last column: nearest neighbours and their distance in Å.
Positions (direct):
Re  0.2500  0.2500  0.2500  4 H 2.58, 4 Os 2.58
Re  0.7500  0.7500  0.7500  4 H 2.58, 4 Os 2.58
Os  0.5000  0.5000  0.5000  8 Re 2.58
H  0.0000  0.0000  0.0000  8 Re 2.58

---

DFT (PBE) results for a relaxed Co4CuNi6 crystal.

Calculated values
**ΔH_f (0 K)**: 1.860 eV per formula unit
**E_tot**: -0.4366 Ry/atom

Lattice parameters (Å, degrees): 2.4540 7.7469 7.7469 120.00 90.00 90.00
Last column: nearest neighbours and their distance in Å.
Positions (direct):
Co  0.5000  0.3575  0.1788  6 Ni 2.38-2.41, 2 Co 2.45
Co  0.5000  0.8213  0.1788  6 Ni 2.38-2.41, 2 Co 2.45
Co  0.0000  0.3333  0.6667  9 Ni 2.39-2.45, 2 Co 2.45
Co  0.5000  0.8213  0.6425  6 Ni 2.38-2.41, 2 Co 2.45
Cu  0.0000  0.0000  0.0000  2 Cu 2.45, 6 Ni 2.65, 6 Co 2.69
Ni  0.5000  0.6493  0.8247  4 Co 2.38-2.45, 6 Ni 2.45-2.58, 2 Cu 2.65
Ni  0.5000  0.1754  0.3507  4 Co 2.38-2.45, 6 Ni 2.45-2.58, 2 Cu 2.65
Ni  0.0000  0.5116  0.0231  5 Co 2.39-2.41, 6 Ni 2.45-2.58
Ni  0.0000  0.5116  0.4885  5 Co 2.39-2.41, 6 Ni 2.45-2.58
Ni  0.0000  0.9769  0.4885  5 Co 2.39-2.41, 6 Ni 2.45-2.58
Ni  0.5000  0.1754  0.8247  4 Co 2.38-2.45, 6 Ni 2.45-2.58, 2 Cu 2.65

---

DFT (PBE) results for a relaxed BaNa3Sr3 crystal.

Calculated values
**Energy above the lowest structure with this stoichiometry**: 433 meV/atom
**ΔH_f (0 K)**: 3.279 eV per formula unit
**E_tot**: -0.0803 Ry/atom

Lattice parameters (Å, degrees): 9.5617 9.5617 9.5617 90.00 90.00 90.00
Last column: nearest neighbours and their distance in Å.
Positions (direct):
Sr  0.2500  0.0000  0.5000  4 Na 3.38
Sr  0.0000  0.5000  0.2500  4 Na 3.38
Sr  0.5000  0.7500  0.0000  4 Na 3.38
Sr  0.7500  0.0000  0.5000  4 Na 3.38
Sr  0.0000  0.5000  0.7500  4 Na 3.38
Sr  0.5000  0.2500  0.0000  4 Na 3.38
Ba  0.5000  0.5000  0.5000  12 Na 5.35, 12 Sr 5.35
Ba  0.0000  0.0000  0.0000  12 Na 5.35, 12 Sr 5.35
Na  0.0000  0.2500  0.5000  4 Sr 3.38
Na  0.0000  0.7500  0.5000  4 Sr 3.38
Na  0.5000  0.0000  0.7500  4 Sr 3.38
Na  0.7500  0.5000  0.0000  4 Sr 3.38
Na  0.5000  0.0000  0.2500  4 Sr 3.38
Na  0.2500  0.5000  0.0000  4 Sr 3.38